Entry from Alexandria: a relaxed structure of SrTcO3 (PBE).

Structure (CIF):
```
data_SrTcO3
_chemical_formula_sum 'Sr2 Tc2 O6'
_cell_length_a 3.9866
_cell_length_b 3.9866
_cell_length_c 8.5452
_cell_angle_alpha 90.00
_cell_angle_beta 90.00
_cell_angle_gamma 120.00
_space_group_name_H-M_alt 'P 63/m m c'
_space_group_IT_number 194
_space_group_name_Hall '-P 6c 2c'
loop_
_atom_site_label
_atom_site_type_symbol
_atom_site_fract_x
_atom_site_fract_y
_atom_site_fract_z
Sr1 Sr 0.3333 0.6667 0.2500
Tc1 Tc 0.0000 0.0000 0.0000
O1 O 0.0000 0.0000 0.2500
O2 O 0.3333 0.6667 0.5432
```

Values from the calculation:
**Raw total energy**: -6.787 eV per atom
**Total magnetization**: 3.4 Bohr magnetons per cell
**DOS at the Fermi energy**: 0.3281 states/eV/atom
**Uncorrected formation energy**: -1.402 eV/atom